RuCN2O: PBEsol geometry, SCAN.

```
RuCN2O
1.0
3.307 0.000 0.000
0.000 3.307 0.000
0.000 0.000 3.384
Ru C O N
1 1 1 2
direct
0.500 0.500 0.500 Ru
0.000 0.000 0.000 C
0.000 0.000 0.500 O
0.000 0.500 0.000 N
0.500 0.000 0.000 N
```

Results
- mass density (g cm⁻³) = 7.05
- spin magnetization (μB/cell) = 0.00
- DOS(E_F) (states/eV per atom) = 0.44
- formation energy from raw total energies (meV/atom) = 1926